[1]
! AgSe, relaxed, DFT GGA-PBEsol; values from VASP
&SYSTEM
  ibrav = 0, nat = 4, ntyp = 2
/
ATOMIC_SPECIES
Ag 107.87 Ag.upf
Se 78.96 Se.upf
CELL_PARAMETERS angstrom
4.029 0.000 0.000
-2.014 3.489 0.000
0.000 0.000 5.742
ATOMIC_POSITIONS crystal
Ag 0.000 0.000 0.000
Ag 0.000 0.000 0.500
Se 0.333 0.667 0.250
Se 0.667 0.333 0.750
! ΔE_f (raw): 0.01 eV/atom
! Density: 7.69 g/cm³
! Space group: P6_3/mmc (194)

=====

[2]
! CuAs2Pt, relaxed, DFT GGA-PBEsol; values from VASP
&SYSTEM
  ibrav = 0, nat = 4, ntyp = 3
/
ATOMIC_SPECIES
Cu 63.55 Cu.upf
As 74.92 As.upf
Pt 195.08 Pt.upf
CELL_PARAMETERS angstrom
1.794 1.036 5.935
-1.794 1.036 5.935
0.000 -2.072 5.935
ATOMIC_POSITIONS crystal
Cu 0.000 0.000 0.000
As 0.250 0.250 0.250
As 0.750 0.750 0.750
Pt 0.500 0.500 0.500
! Density: 10.25 g/cm³
! Space group: R-3m (166)
! Distance to the lowest polymorph of the same formula: 38 meV/atom

=====

[3]
! NaTaRh2W, relaxed, DFT GGA-PBEsol; values from VASP
&SYSTEM
  ibrav = 0, nat = 5, ntyp = 4
/
ATOMIC_SPECIES
Na 22.99 Na.upf
Ta 180.95 Ta.upf
Rh 102.91 Rh.upf
W 183.84 W.upf
CELL_PARAMETERS angstrom
4.588 0.000 0.000
0.000 4.588 0.000
0.000 0.000 4.739
ATOMIC_POSITIONS crystal
Na 0.000 0.000 0.000
Ta 0.500 0.500 0.000
Rh 0.000 0.500 0.500
Rh 0.500 0.000 0.500
W 0.000 0.000 0.500
! Density: 9.88 g/cm³
! Space group: P4/mmm (123)
! Calculated total energy: -6.8963 eV/atom

=====

[4]
! MgZn2Hg, relaxed, DFT GGA-PBEsol; values from VASP
&SYSTEM
  ibrav = 0, nat = 4, ntyp = 3
/
ATOMIC_SPECIES
Mg 24.30 Mg.upf
Zn 65.41 Zn.upf
Hg 200.59 Hg.upf
CELL_PARAMETERS angstrom
-2.045 2.045 4.197
2.045 -2.045 4.197
2.045 2.045 -4.197
ATOMIC_POSITIONS crystal
Mg 0.000 0.000 0.000
Zn 0.250 0.750 0.500
Zn 0.750 0.250 0.500
Hg 0.500 0.500 0.000
! Density: 8.41 g/cm³
! Space group: I4/mmm (139)
! Distance to the lowest polymorph of the same formula: 22 meV/atom

=====

[5]
! FeAg4As, relaxed, DFT GGA-PBEsol; values from VASP
&SYSTEM
  ibrav = 0, nat = 6, ntyp = 3
/
ATOMIC_SPECIES
Fe 55.84 Fe.upf
Ag 107.87 Ag.upf
As 74.92 As.upf
CELL_PARAMETERS angstrom
0.000 3.752 3.752
3.752 0.000 3.752
3.752 3.752 0.000
ATOMIC_POSITIONS crystal
Fe 0.000 0.000 0.000
Ag 0.375 0.375 0.375
Ag 0.375 0.375 0.876
Ag 0.375 0.876 0.375
Ag 0.876 0.375 0.375
As 0.750 0.750 0.750
! Density: 8.84 g/cm³
! Space group: F-43m (216)
! Calculated total energy: -4.0045 eV/atom

=====

[6]
! HfFeGe, relaxed, DFT GGA-PBEsol; values from VASP
&SYSTEM
  ibrav = 0, nat = 9, ntyp = 3
/
ATOMIC_SPECIES
Hf 178.49 Hf.upf
Fe 55.84 Fe.upf
Ge 72.64 Ge.upf
CELL_PARAMETERS angstrom
6.433 0.000 0.000
-3.216 5.571 0.000
0.000 0.000 3.673
ATOMIC_POSITIONS crystal
Hf 0.000 0.416 0.000
Hf 0.416 0.000 0.000
Hf 0.584 0.584 0.000
Fe 0.000 0.760 0.500
Fe 0.240 0.240 0.500
Fe 0.760 0.000 0.500
Ge 0.000 0.000 0.000
Ge 0.333 0.667 0.500
Ge 0.667 0.333 0.500
! Density: 11.62 g/cm³
! Space group: P-62m (189)
! Calculated total energy: -8.7579 eV/atom

=====

[7]
! LaCrSe2, relaxed, DFT GGA-PBEsol; values from VASP
&SYSTEM
  ibrav = 0, nat = 4, ntyp = 3
/
ATOMIC_SPECIES
La 138.91 La.upf
Cr 52.00 Cr.upf
Se 78.96 Se.upf
CELL_PARAMETERS angstrom
4.876 0.000 0.000
0.000 4.876 0.000
0.000 0.000 3.626
ATOMIC_POSITIONS crystal
La 0.000 0.000 0.000
Cr 0.500 0.500 0.000
Se 0.000 0.500 0.500
Se 0.500 0.000 0.500
! ΔE_f (raw): -0.90 eV/atom
! Density: 6.72 g/cm³
! Space group: P4/mmm (123)
! Distance to the lowest polymorph of the same formula: 116 meV/atom

=====

[8]
! Sm3Ho, relaxed, DFT GGA-PBEsol; values from VASP
&SYSTEM
  ibrav = 0, nat = 4, ntyp = 2
/
ATOMIC_SPECIES
Sm 150.36 Sm.upf
Ho 164.93 Ho.upf
CELL_PARAMETERS angstrom
-2.489 2.489 4.976
2.489 -2.489 4.976
2.489 2.489 -4.976
ATOMIC_POSITIONS crystal
Sm 0.000 0.000 0.000
Sm 0.250 0.750 0.500
Sm 0.750 0.250 0.500
Ho 0.500 0.500 0.000
! Density: 8.29 g/cm³
! Space group: I4/mmm (139)
! Distance to the lowest polymorph of the same formula: 1 meV/atom

=====

[9]
! ScRhAu3, relaxed, DFT GGA-PBEsol; values from VASP
&SYSTEM
  ibrav = 0, nat = 5, ntyp = 3
/
ATOMIC_SPECIES
Sc 44.96 Sc.upf
Rh 102.91 Rh.upf
Au 196.97 Au.upf
CELL_PARAMETERS angstrom
4.868 0.000 0.000
0.000 4.868 0.000
0.000 0.000 4.868
ATOMIC_POSITIONS crystal
Sc 0.000 0.000 0.000
Rh 0.500 0.500 0.500
Au 0.000 0.500 0.500
Au 0.500 0.000 0.500
Au 0.500 0.500 0.000
! Density: 10.64 g/cm³
! Space group: Pm-3m (221)
! Calculated total energy: -4.6607 eV/atom

=====

[10]
! ScHgAs3, relaxed, DFT GGA-PBEsol; values from VASP
&SYSTEM
  ibrav = 0, nat = 5, ntyp = 3
/
ATOMIC_SPECIES
Sc 44.96 Sc.upf
Hg 200.59 Hg.upf
As 74.92 As.upf
CELL_PARAMETERS angstrom
5.045 0.000 0.000
0.000 5.045 0.000
0.000 0.000 5.045
ATOMIC_POSITIONS crystal
Sc 0.000 0.000 0.000
Hg 0.500 0.500 0.500
As 0.000 0.500 0.500
As 0.500 0.000 0.500
As 0.500 0.500 0.000
! Density: 6.08 g/cm³
! Space group: Pm-3m (221)
! Calculated total energy: -3.8058 eV/atom

=====

[11]
! Ta2BeSi, relaxed, DFT GGA-PBEsol; values from VASP
&SYSTEM
  ibrav = 0, nat = 4, ntyp = 3
/
ATOMIC_SPECIES
Ta 180.95 Ta.upf
Be 9.01 Be.upf
Si 28.09 Si.upf
CELL_PARAMETERS angstrom
4.369 -1.412 0.000
4.369 1.412 0.000
-0.816 0.000 4.884
ATOMIC_POSITIONS crystal
Ta 0.248 0.248 0.255
Ta 0.752 0.752 0.745
Be 0.000 0.000 0.500
Si 0.500 0.500 0.000
! ΔE_f (raw): 0.11 eV/atom
! Density: 11.00 g/cm³
! Space group: C2/m (12)
! Distance to the lowest polymorph of the same formula: 675 meV/atom

=====

[12]
! Sr2TcRh, relaxed, DFT GGA-PBEsol; values from VASP
&SYSTEM
  ibrav = 0, nat = 4, ntyp = 3
/
ATOMIC_SPECIES
Sr 87.62 Sr.upf
Tc 98.00 Tc.upf
Rh 102.91 Rh.upf
CELL_PARAMETERS angstrom
0.000 3.532 3.532
3.532 0.000 3.532
3.532 3.532 0.000
ATOMIC_POSITIONS crystal
Sr 0.000 0.000 0.000
Sr 0.250 0.250 0.250
Tc 0.750 0.750 0.750
Rh 0.500 0.500 0.500
! Density: 7.09 g/cm³
! Space group: F-43m (216)
! Calculated total energy: -4.9699 eV/atom

=====

[13]
! Zr2Ga2Os, relaxed, DFT GGA-PBEsol; values from VASP
&SYSTEM
  ibrav = 0, nat = 10, ntyp = 3
/
ATOMIC_SPECIES
Zr 91.22 Zr.upf
Ga 69.72 Ga.upf
Os 190.23 Os.upf
CELL_PARAMETERS angstrom
6.709 0.000 0.000
0.000 6.709 0.000
0.000 0.000 3.756
ATOMIC_POSITIONS crystal
Zr 0.174 0.326 0.000
Zr 0.326 0.826 0.000
Zr 0.674 0.174 0.000
Zr 0.826 0.674 0.000
Ga 0.130 0.630 0.500
Ga 0.370 0.130 0.500
Ga 0.630 0.870 0.500
Ga 0.870 0.370 0.500
Os 0.000 0.000 0.500
Os 0.500 0.500 0.500
! Density: 10.06 g/cm³
! Space group: P4/mbm (127)
! Calculated total energy: -7.9956 eV/atom

=====

[14]
! CoF3, relaxed, DFT GGA-PBEsol; values from VASP
&SYSTEM
  ibrav = 0, nat = 8, ntyp = 2
/
ATOMIC_SPECIES
Co 58.93 Co.upf
F 19.00 F.upf
CELL_PARAMETERS angstrom
2.425 1.400 4.276
-2.425 1.400 4.276
0.000 -2.800 4.276
ATOMIC_POSITIONS crystal
Co 0.000 0.000 0.000
Co 0.500 0.500 0.500
F 0.128 0.750 0.372
F 0.250 0.628 0.872
F 0.372 0.128 0.750
F 0.628 0.872 0.250
F 0.750 0.372 0.128
F 0.872 0.250 0.628
! ΔE_f (raw): -1.71 eV/atom
! Density: 4.42 g/cm³
! Space group: R-3c (167)

=====

[15]
! POs2N, relaxed, DFT GGA-PBEsol; values from VASP
&SYSTEM
  ibrav = 0, nat = 4, ntyp = 3
/
ATOMIC_SPECIES
P 30.97 P.upf
Os 190.23 Os.upf
N 14.01 N.upf
CELL_PARAMETERS angstrom
0.000 2.826 2.826
2.826 0.000 2.826
2.826 2.826 0.000
ATOMIC_POSITIONS crystal
P 0.000 0.000 0.000
Os 0.250 0.250 0.250
Os 0.750 0.750 0.750
N 0.500 0.500 0.500
! ΔE_f (raw): 0.67 eV/atom
! Density: 15.65 g/cm³
! Space group: Fm-3m (225)

=====

[16]
! In2SnPb, relaxed, DFT GGA-PBEsol; values from VASP
&SYSTEM
  ibrav = 0, nat = 4, ntyp = 3
/
ATOMIC_SPECIES
In 114.82 In.upf
Sn 118.71 Sn.upf
Pb 207.20 Pb.upf
CELL_PARAMETERS angstrom
3.232 0.000 0.000
0.000 3.232 0.000
0.000 0.000 10.265
ATOMIC_POSITIONS crystal
In 0.000 0.000 0.000
In 0.500 0.500 0.243
Sn 0.500 0.500 0.757
Pb 0.000 0.000 0.501
! Density: 8.60 g/cm³
! Space group: P4mm (99)
! Calculated total energy: -3.5356 eV/atom

=====

[17]
! Tb2IrPd, relaxed, DFT GGA-PBEsol; values from VASP
&SYSTEM
  ibrav = 0, nat = 4, ntyp = 3
/
ATOMIC_SPECIES
Tb 158.93 Tb.upf
Ir 192.22 Ir.upf
Pd 106.42 Pd.upf
CELL_PARAMETERS angstrom
0.000 3.420 3.420
3.420 0.000 3.420
3.420 3.420 0.000
ATOMIC_POSITIONS crystal
Tb 0.250 0.250 0.250
Tb 0.750 0.750 0.750
Ir 0.000 0.000 0.000
Pd 0.500 0.500 0.500
! Density: 12.80 g/cm³
! Space group: Fm-3m (225)
! Calculated total energy: -7.3026 eV/atom

=====

[18]
! Pr3S4, relaxed, DFT GGA-PBEsol; values from VASP
&SYSTEM
  ibrav = 0, nat = 14, ntyp = 2
/
ATOMIC_SPECIES
Pr 140.91 Pr.upf
S 32.06 S.upf
CELL_PARAMETERS angstrom
-4.259 4.259 4.259
4.259 -4.259 4.259
4.259 4.259 -4.259
ATOMIC_POSITIONS crystal
Pr 0.125 0.875 0.250
Pr 0.250 0.125 0.875
Pr 0.375 0.625 0.750
Pr 0.625 0.750 0.375
Pr 0.750 0.375 0.625
Pr 0.875 0.250 0.125
S 0.000 0.153 0.500
S 0.000 0.653 0.500
S 0.153 0.500 0.000
S 0.347 0.347 0.347
S 0.500 0.000 0.153
S 0.500 0.000 0.653
S 0.653 0.500 0.000
S 0.847 0.847 0.847
! ΔE_f (raw): -2.10 eV/atom
! Density: 5.92 g/cm³
! Space group: I-43d (220)

=====

[19]
! IrN2Cl, relaxed, DFT GGA-PBEsol; values from VASP
&SYSTEM
  ibrav = 0, nat = 4, ntyp = 3
/
ATOMIC_SPECIES
Ir 192.22 Ir.upf
N 14.01 N.upf
Cl 35.45 Cl.upf
CELL_PARAMETERS angstrom
1.482 0.856 6.413
-1.482 0.856 6.413
0.000 -1.711 6.413
ATOMIC_POSITIONS crystal
Ir 0.000 0.000 0.000
N 0.095 0.095 0.095
N 0.905 0.905 0.905
Cl 0.500 0.500 0.500
! ΔE_f (raw): 1.67 eV/atom
! Density: 8.70 g/cm³
! Space group: R-3m (166)
! Distance to the lowest polymorph of the same formula: 0 meV/atom

=====

[20]
! CdAuS3, relaxed, DFT GGA-PBEsol; values from VASP
&SYSTEM
  ibrav = 0, nat = 5, ntyp = 3
/
ATOMIC_SPECIES
Cd 112.41 Cd.upf
Au 196.97 Au.upf
S 32.06 S.upf
CELL_PARAMETERS angstrom
4.768 0.000 0.000
0.000 4.768 0.000
0.000 0.000 4.768
ATOMIC_POSITIONS crystal
Cd 0.000 0.000 0.000
Au 0.500 0.500 0.500
S 0.000 0.500 0.500
S 0.500 0.000 0.500
S 0.500 0.500 0.000
! ΔE_f (raw): 0.54 eV/atom
! Density: 6.21 g/cm³
! Space group: Pm-3m (221)